Record 1
The following is a PBE-GGA calculation of crystalline BePt4 at its relaxed geometry, from Alexandria.

POSCAR file:
```
BePt4
1.0
-3.0288 3.0288 1.9923
3.0288 -3.0288 1.9923
3.0288 3.0288 -1.9923
Be Pt
1 4
Cartesian
0.0000 0.0000 0.0000
3.7029 1.2082 0.0000
1.2082 2.3548 0.0000
1.8206 0.6740 1.9923
-0.6740 1.8206 1.9923
```

## Properties
As for the density of states at the Fermi level: 1.10 states/eV per atom. The calculation puts the energy relative to the lowest polymorph listed for this composition at 31 meV/atom. The value obtained for the formation energy is -180.6 meV/atom.

Record 2
The following is a PBE-GGA calculation of crystalline BePt4 at its relaxed geometry, from Alexandria.

POSCAR file:
```
BePt4
1.0
-2.7079 2.7079 2.7079
2.7079 -2.7079 2.7079
2.7079 2.7079 -2.7079
Be Pt
1 4
Cartesian
0.0000 0.0000 0.0000
1.3539 1.3539 -1.3539
1.3539 -1.3539 1.3539
-1.3539 1.3539 1.3539
1.3539 1.3539 1.3539
```

## Properties
As for the density of states at the Fermi level: 0.96 states/eV per atom. The calculation puts the energy relative to the lowest polymorph listed for this composition at 187 meV/atom. The value obtained for the formation energy is -24.8 meV/atom.

Record 3
The following is a PBE-GGA calculation of crystalline Be3Pt2 at its relaxed geometry, from Alexandria.

POSCAR file:
```
Be3Pt2
1.0
1.3794 0.7964 9.0689
-1.3794 0.7964 9.0689
0.0000 -1.5928 9.0689
Be Pt
3 2
Cartesian
0.0000 0.0000 0.0000
0.0000 0.0000 5.4040
0.0000 0.0000 21.8026
0.0000 0.0000 10.8947
0.0000 0.0000 16.3119
```

## Properties
As for the density of states at the Fermi level: 0.53 states/eV per atom. The calculation puts the energy relative to the lowest polymorph listed for this composition at 361 meV/atom. The value obtained for the formation energy is -233.3 meV/atom.

Record 4
The following is a PBE-GGA calculation of crystalline Be5Pt at its relaxed geometry, from Alexandria.

POSCAR file:
```
Be5Pt
1.0
0.0000 2.9887 2.9887
2.9887 0.0000 2.9887
2.9887 2.9887 0.0000
Be Pt
5 1
Cartesian
0.0000 0.0000 0.0000
3.7386 2.2389 2.2389
2.2389 3.7386 2.2389
2.2389 2.2389 3.7386
3.7386 3.7386 3.7386
1.4944 1.4944 1.4944
```

## Properties
As for the density of states at the Fermi level: 0.00 states/eV per atom. The value obtained for the formation energy is -477.0 meV/atom.

Record 5
The following is a PBE-GGA calculation of crystalline Be3Pt5 at its relaxed geometry, from Alexandria.

POSCAR file:
```
Be3Pt5
1.0
6.7215 0.0000 0.0000
-3.3607 5.8210 0.0000
0.0000 0.0000 5.2756
Be Pt
6 10
Cartesian
-1.3605 2.3564 1.3189
-2.0003 3.4646 3.9567
2.7209 0.0000 1.3189
1.3605 2.3564 3.9567
4.0005 0.0000 3.9567
2.0003 3.4646 1.3189
-0.8154 1.4124 3.9567
-2.5453 4.4086 1.3189
1.6309 0.0000 3.9567
0.8154 1.4124 1.3189
0.0000 3.8806 0.0000
0.0000 3.8806 2.6378
3.3607 1.9403 0.0000
3.3607 1.9403 2.6378
5.0906 0.0000 1.3189
2.5453 4.4086 3.9567
```

## Properties
As for the density of states at the Fermi level: 0.43 states/eV per atom. The calculation puts the energy relative to the lowest polymorph listed for this composition at 132 meV/atom. The value obtained for the formation energy is -519.3 meV/atom.

Record 6
The following is a PBE-GGA calculation of crystalline Pu2BePt6 at its relaxed geometry, from Alexandria.

POSCAR file:
```
Pu2BePt6
1.0
4.7999 -2.7958 0.0000
4.7999 2.7958 0.0000
-1.4331 0.0000 5.9419
Pu Be Pt
2 1 6
Cartesian
0.8800 0.0000 2.1621
7.2866 0.0000 3.7798
4.0833 0.0000 2.9710
3.2784 1.4122 1.1596
4.8881 1.4122 4.7823
2.4893 0.0000 4.7228
5.6773 0.0000 1.2191
3.2784 -1.4122 1.1596
4.8881 -1.4122 4.7823
```

## Properties
As for the density of states at the Fermi level: 2.28 states/eV per atom. The value obtained for the formation energy is -734.7 meV/atom.